one.
Tb5Pm5Dy2: relaxed, GGA-PBE.

Summary:
Total magnetic moment, μB per cell: 0.00
Space group: C2/m
Calculated density, g/cm³: 7.8

Cell lengths 5.077, 8.037, 10.791 Å; angles 72.71, 76.40, 71.59 degrees
Positions (direct):
Tb  0.251  0.750  0.748
Tb  0.000  0.000  0.000
Dy  0.083  0.582  0.251
Pm  0.500  0.500  0.500
Pm  0.666  0.667  0.000
Tb  0.833  0.834  0.501
Pm  0.334  0.333  0.000
Pm  0.584  0.083  0.750
Dy  0.917  0.418  0.749
Tb  0.167  0.166  0.499
Pm  0.416  0.917  0.250
Tb  0.749  0.250  0.252



two.
Tb5Pm5Dy2: relaxed, GGA-PBE.

Summary:
Total magnetic moment, μB per cell: 0.00
Space group: C2/m
Calculated density, g/cm³: 7.7

Cell lengths 5.675, 6.581, 12.389 Å; angles 106.68, 90.00, 115.54 degrees
Positions (direct):
Pm  0.695  0.389  0.032
Pm  0.576  0.152  0.246
Tb  0.185  0.369  0.469
Pm  0.500  0.000  0.500
Tb  0.000  0.000  0.000
Tb  0.259  0.518  0.225
Dy  0.085  0.169  0.707
Pm  0.305  0.611  0.968
Pm  0.424  0.848  0.754
Dy  0.915  0.831  0.293
Tb  0.741  0.482  0.775
Tb  0.815  0.631  0.531



Energy ordering: one at the bottom, the next structure 80 meV per atom above.